i) DFT (PBE-GGA) results for an optimized crystal structure of LiLa2Ru.

Values from the calculation:
- Space-group type: Pmmm

Structure (CIF):
```
data_LiLa2Ru
_space_group_name_H-M_alt 'P 1'
_space_group_IT_number 1
_space_group_name_Hall 'P 1'
_cell_length_a 3.616
_cell_length_b 3.533
_cell_length_c 8.454
_cell_angle_alpha 90.00
_cell_angle_beta 90.00
_cell_angle_gamma 90.00
loop_
_atom_site_label
_atom_site_type_symbol
_atom_site_fract_x
_atom_site_fract_y
_atom_site_fract_z
La1 La 0.000 0.000 0.547
La2 La 0.000 0.000 0.953
Li1 Li 0.500 0.500 0.250
Ru1 Ru 0.500 0.500 0.750
```


ii) DFT (PBE-GGA) results for an optimized crystal structure of LiLa2Ru.

Values from the calculation:
- Space-group type: C2/m

Structure (CIF):
```
data_LiLa2Ru
_space_group_name_H-M_alt 'P 1'
_space_group_IT_number 1
_space_group_name_Hall 'P 1'
_cell_length_a 8.125
_cell_length_b 5.094
_cell_length_c 3.741
_cell_angle_alpha 90.09
_cell_angle_beta 62.45
_cell_angle_gamma 128.88
loop_
_atom_site_label
_atom_site_type_symbol
_atom_site_fract_x
_atom_site_fract_y
_atom_site_fract_z
La1 La 0.500 0.000 0.500
La2 La 0.000 0.000 0.000
Ru1 Ru 0.500 0.500 0.000
Li1 Li 0.000 0.500 0.500
```


Which one sits at the bottom of the stability order? ii) does.